1.
This record from the Alexandria database describes a geometry-optimized Sr2OsBr structure. The functional is GGA-PBE.

Cell and atoms, written as POSCAR:
```
Sr2OsBr
1.0
8.879 -0.004 -0.013
7.286 5.075 0.013
-8.130 -2.385 2.657
Br Sr Os
1 2 1
direct
0.453 0.453 0.000
0.786 0.286 0.500
0.066 0.066 0.000
0.195 0.695 0.500
```

Calculated values
- ΔE_f (raw) (eV/atom) = -0.104
- density (Mg/m³) = 6.18
- distance to the lowest polymorph of the same formula (meV/atom) = 153

***

2.
This record from the Alexandria database describes a geometry-optimized BeGePd2 structure. The functional is GGA-PBE.

Cell and atoms, written as POSCAR:
```
BeGePd2
1.0
-1.133 2.163 -1.941
-0.633 -2.937 -2.902
-3.840 -0.660 1.506
Ge Pd Be
1 2 1
direct
0.500 0.500 0.500
0.000 0.000 0.500
0.000 0.500 0.000
0.500 0.000 0.000
```

Calculated values
- formation energy (eV/atom) = -0.34
- density (Mg/m³) = 8.99